Entry 1:
AcCd3Rh2 | PBE | optimized geometry

CIF file:
```
data_AcCd3Rh2
_space_group_name_H-M_alt 'P 1'
_space_group_IT_number 1
_cell_length_a 8.765
_cell_length_b 8.765
_cell_length_c 8.961
_cell_angle_alpha 120.70
_cell_angle_beta 120.70
_cell_angle_gamma 27.83
loop_
_space_group_symop_operation_xyz
'x,y,z'
loop_
_atom_site_label
_atom_site_type_symbol
_atom_site_fract_x
_atom_site_fract_y
_atom_site_fract_z
_atom_site_occupancy
Ac1 Ac 0.141 0.141 0.080 1
Ac2 Ac 0.859 0.859 0.920 1
Cd1 Cd 0.036 0.036 0.377 1
Cd2 Cd 0.321 0.321 0.544 1
Cd3 Cd 0.386 0.386 0.275 1
Cd4 Cd 0.614 0.614 0.725 1
Cd5 Cd 0.679 0.679 0.456 1
Cd6 Cd 0.964 0.964 0.623 1
Rh1 Rh 0.212 0.212 0.696 1
Rh2 Rh 0.495 0.495 0.853 1
Rh3 Rh 0.505 0.505 0.147 1
Rh4 Rh 0.788 0.788 0.304 1
```

Results
SG: C2/m (12)
DFT formation energy: -0.31 eV/atom
Energy above the most stable polymorph in this dataset: 0.1005 eV/atom
M_tot: 0.00 μB per formula unit


Entry 2:
RbHfTl | PBE | optimized geometry

CIF file:
```
data_RbHfTl
_space_group_name_H-M_alt 'P 1'
_space_group_IT_number 1
_cell_length_a 4.657
_cell_length_b 5.089
_cell_length_c 12.604
_cell_angle_alpha 79.19
_cell_angle_beta 89.69
_cell_angle_gamma 62.82
loop_
_space_group_symop_operation_xyz
'x,y,z'
loop_
_atom_site_label
_atom_site_type_symbol
_atom_site_fract_x
_atom_site_fract_y
_atom_site_fract_z
_atom_site_occupancy
Rb1 Rb 0.000 0.000 0.000 1
Rb2 Rb 0.176 0.629 0.640 1
Hf1 Hf 0.130 0.732 0.320 1
Hf2 Hf 0.426 0.138 0.320 1
Tl1 Tl 0.742 0.511 0.193 1
Tl2 Tl 0.811 0.365 0.447 1
```

Results
SG: P1 (1)
DFT formation energy: 0.30 eV/atom
Energy above the most stable polymorph in this dataset: 0.1611 eV/atom
M_tot: 0.00 μB per formula unit


Entry 3:
SrIn2Hg | PBE | optimized geometry

CIF file:
```
data_SrIn2Hg
_space_group_name_H-M_alt 'P 1'
_space_group_IT_number 1
_cell_length_a 6.682
_cell_length_b 6.682
_cell_length_c 3.689
_cell_angle_alpha 104.26
_cell_angle_beta 104.26
_cell_angle_gamma 121.06
loop_
_space_group_symop_operation_xyz
'x,y,z'
loop_
_atom_site_label
_atom_site_type_symbol
_atom_site_fract_x
_atom_site_fract_y
_atom_site_fract_z
_atom_site_occupancy
Sr1 Sr 0.000 0.000 0.000 1
In1 In 0.000 0.500 0.500 1
In2 In 0.500 0.000 0.500 1
Hg1 Hg 0.500 0.500 0.000 1
```

Results
SG: C2/m (12)
DFT formation energy: -0.18 eV/atom
M_tot: 0.00 μB per formula unit